# 1
## GeIrN2 (PBE)

Data for crystalline GeIrN2 at its relaxed geometry.

The structure in CIF format:
```
data_GeIrN2
_chemical_formula_sum 'Ge4 Ir4 N8'
_symmetry_space_group_name_H-M 'I -4 2 d'
_symmetry_Int_Tables_number 122
_symmetry_space_group_name_Hall 'I -4 2bw'
_cell_length_a 4.670
_cell_length_b 4.670
_cell_length_c 8.852
_cell_angle_alpha 90.00
_cell_angle_beta 90.00
_cell_angle_gamma 90.00
loop_
_atom_site_label
_atom_site_type_symbol
_atom_site_fract_x
_atom_site_fract_y
_atom_site_fract_z
Ge1 Ge 0.000 0.000 0.000
Ir1 Ir 0.000 0.000 0.500
N1 N 0.212 0.250 0.125
```

ΔE_f (raw) ... 591 meV/atom
Crystal system ... tetragonal


# 2
## Pr23Cd4Ni7 (PBE)

Data for crystalline Pr23Cd4Ni7 at its relaxed geometry.

The structure in CIF format:
```
data_Pr23Cd4Ni7
_chemical_formula_sum 'Pr46 Cd8 Ni14'
_symmetry_space_group_name_H-M 'P 63 m c'
_symmetry_Int_Tables_number 186
_symmetry_space_group_name_Hall 'P 6c -2c'
_cell_length_a 9.9738
_cell_length_b 9.9738
_cell_length_c 22.6579
_cell_angle_alpha 90.00
_cell_angle_beta 90.00
_cell_angle_gamma 120.00
loop_
_atom_site_label
_atom_site_type_symbol
_atom_site_fract_x
_atom_site_fract_y
_atom_site_fract_z
Pr1 Pr 0.0000 0.0000 0.0489
Pr2 Pr 0.0788 0.5394 0.1392
Pr3 Pr 0.0846 0.5423 0.4085
Pr4 Pr 0.1270 0.2540 0.6866
Pr5 Pr 0.2013 0.4026 0.8362
Pr6 Pr 0.2057 0.4115 0.2733
Pr7 Pr 0.2063 0.4125 0.0000
Pr8 Pr 0.2110 0.4220 0.5445
Pr9 Pr 0.3333 0.6667 0.7000
Cd1 Cd 0.0000 0.0000 0.3016
Cd2 Cd 0.1063 0.2126 0.4166
Ni1 Ni 0.0418 0.5209 0.7662
Ni2 Ni 0.1429 0.2858 0.1162
Ni3 Ni 0.3333 0.6667 0.9153
```

Formation energy ... -22 kJ/mol of atoms
Crystal system ... hexagonal


# 3
## TbTmCoRu (PBE)

Data for crystalline TbTmCoRu at its relaxed geometry.

The structure in CIF format:
```
data_TbTmCoRu
_chemical_formula_sum 'Tb4 Tm4 Co4 Ru4'
_symmetry_space_group_name_H-M 'F -4 3 m'
_symmetry_Int_Tables_number 216
_symmetry_space_group_name_Hall 'F -4 2 3'
_cell_length_a 6.709
_cell_length_b 6.709
_cell_length_c 6.709
_cell_angle_alpha 90.00
_cell_angle_beta 90.00
_cell_angle_gamma 90.00
loop_
_atom_site_label
_atom_site_type_symbol
_atom_site_fract_x
_atom_site_fract_y
_atom_site_fract_z
Tb1 Tb 0.000 0.000 0.000
Tm1 Tm 0.000 0.000 0.500
Co1 Co 0.250 0.250 0.250
Ru1 Ru 0.250 0.250 0.750
```

Formation energy ... -26 kJ/mol of atoms
Crystal system ... cubic
Relative energy among the computed polymorphs ... 0.00 eV per formula unit


# 4
## ReSe2Br (PBE)

Data for crystalline ReSe2Br at its relaxed geometry.

The structure in CIF format:
```
data_ReSe2Br
_chemical_formula_sum 'Re1 Se2 Br1'
_symmetry_space_group_name_H-M 'P 4/m m m'
_symmetry_Int_Tables_number 123
_symmetry_space_group_name_Hall '-P 4 2'
_cell_length_a 3.024
_cell_length_b 3.024
_cell_length_c 9.954
_cell_angle_alpha 90.00
_cell_angle_beta 90.00
_cell_angle_gamma 90.00
loop_
_atom_site_label
_atom_site_type_symbol
_atom_site_fract_x
_atom_site_fract_y
_atom_site_fract_z
Re1 Re 0.000 0.000 0.000
Se1 Se 0.500 0.500 0.159
Br1 Br 0.000 0.000 0.500
```

ΔE_f (raw) ... 81 meV/atom
Crystal system ... tetragonal
Relative energy among the computed polymorphs ... 0.36 eV per formula unit


# 5
## YMoPb2 (PBE)

Data for crystalline YMoPb2 at its relaxed geometry.

The structure in CIF format:
```
data_YMoPb2
_chemical_formula_sum 'Y3 Mo3 Pb6'
_symmetry_space_group_name_H-M 'R -3 m'
_symmetry_Int_Tables_number 166
_symmetry_space_group_name_Hall '-R 3 2"'
_cell_length_a 3.4201
_cell_length_b 3.4201
_cell_length_c 29.0005
_cell_angle_alpha 90.00
_cell_angle_beta 90.00
_cell_angle_gamma 120.00
loop_
_atom_site_label
_atom_site_type_symbol
_atom_site_fract_x
_atom_site_fract_y
_atom_site_fract_z
Y1 Y 0.0000 0.0000 0.0000
Mo1 Mo 0.0000 0.0000 0.5000
Pb1 Pb 0.0000 0.0000 0.2401
```

Formation energy ... 31 kJ/mol of atoms
Crystal system ... trigonal
Relative energy among the computed polymorphs ... 0.47 eV per formula unit


# 6
## Sm3HoTl2 (PBE)

Data for crystalline Sm3HoTl2 at its relaxed geometry.

The structure in CIF format:
```
data_Sm3HoTl2
_chemical_formula_sum 'Sm12 Ho4 Tl8'
_symmetry_space_group_name_H-M 'C 1 2/m 1'
_symmetry_Int_Tables_number 12
_cell_length_a 16.335
_cell_length_b 5.030
_cell_length_c 10.241
_cell_angle_alpha 90.00
_cell_angle_beta 118.66
_cell_angle_gamma 90.00
loop_
_symmetry_equiv_pos_as_xyz
'x,y,z'
'-x,-y,-z'
'-x,y,-z'
'x,-y,z'
'x+1/2,y+1/2,z'
'-x+1/2,-y+1/2,-z'
'-x+1/2,y+1/2,-z'
'x+1/2,-y+1/2,z'
loop_
_atom_site_label
_atom_site_type_symbol
_atom_site_fract_x
_atom_site_fract_y
_atom_site_fract_z
Sm1 Sm 0.042 0.000 0.362
Sm2 Sm 0.133 0.500 0.669
Sm3 Sm 0.211 0.500 0.380
Ho1 Ho 0.118 0.000 0.069
Tl1 Tl 0.012 0.500 0.860
Tl2 Tl 0.241 0.000 0.896
```

Formation energy ... -17 kJ/mol of atoms
Crystal system ... monoclinic
Relative energy among the computed polymorphs ... 0.57 eV per formula unit


| no. | DOS at the Fermi energy (states/eV/cell) |
| --- | --- |
| 1 | 3.432 |
| 2 | 70.395 |
| 3 | 14.549 |
| 4 | 2.924 |
| 5 | 7.345 |
| 6 | 23.968 |